1.
This record from the Alexandria database describes a geometry-optimized SbPb3N structure. The functional is PBE-GGA.

## Properties
space-group type: Imma, No. 74
DFT total energy: -4.329 eV per atom

Cell lengths 7.129, 7.129, 7.129 Å; angles 118.89, 94.69, 115.80 degrees
Fractional positions:
Sb: 0.251 0.001 0.250
Sb: 0.749 0.999 0.750
Pb: 0.210 0.000 0.710
Pb: 0.210 0.500 0.210
Pb: 0.323 0.573 0.750
Pb: 0.677 0.427 0.250
Pb: 0.790 0.000 0.290
Pb: 0.790 0.500 0.790
N: 0.000 0.500 0.500
N: 0.500 0.500 0.000

=====

2.
This record from the Alexandria database describes a geometry-optimized ScSbPb2N structure. The functional is PBE-GGA.

## Properties
space-group type: P4/mmm, No. 123
DFT total energy: -4.057 eV per atom

Cell lengths 5.711, 5.711, 5.424 Å; angles 90.00, 90.00, 90.00 degrees
Fractional positions:
Sc: 0.000 0.000 0.000
Sb: 0.000 0.000 0.500
Pb: 0.000 0.500 0.000
Pb: 0.500 0.000 0.000
N: 0.500 0.500 0.500

=====

3.
This record from the Alexandria database describes a geometry-optimized Sr2SbPbN structure. The functional is PBE-GGA.

## Properties
space-group type: P4/mmm, No. 123
DFT total energy: -4.457 eV per atom

Cell lengths 5.258, 5.258, 4.938 Å; angles 90.00, 90.00, 90.00 degrees
Fractional positions:
Sr: 0.000 0.500 0.000
Sr: 0.500 0.000 0.000
Sb: 0.000 0.000 0.500
Pb: 0.500 0.500 0.500
N: 0.500 0.500 0.000

=====

4.
This record from the Alexandria database describes a geometry-optimized Tb4SbPbN structure. The functional is PBE-GGA.

## Properties
space-group type: Cmcm, No. 63
DFT total energy: -5.915 eV per atom

Cell lengths 8.717, 8.717, 6.684 Å; angles 90.00, 90.00, 134.86 degrees
Fractional positions:
Tb: 0.000 0.500 0.000
Tb: 0.000 0.500 0.500
Tb: 0.090 0.910 0.750
Tb: 0.408 0.592 0.750
Tb: 0.500 0.000 0.000
Tb: 0.500 0.000 0.500
Tb: 0.592 0.408 0.250
Tb: 0.910 0.090 0.250
Sb: 0.108 0.892 0.250
Sb: 0.892 0.108 0.750
Pb: 0.396 0.604 0.250
Pb: 0.604 0.396 0.750
N: 0.251 0.749 0.750
N: 0.749 0.251 0.250

=====

5.
This record from the Alexandria database describes a geometry-optimized SbTe2PbN structure. The functional is PBE-GGA.

## Properties
space-group type: P4/mmm, No. 123
DFT total energy: -2.822 eV per atom

Cell lengths 5.988, 5.988, 5.963 Å; angles 90.00, 90.00, 90.00 degrees
Fractional positions:
Sb: 0.000 0.000 0.000
Te: 0.000 0.500 0.500
Te: 0.500 0.000 0.500
Pb: 0.000 0.000 0.500
N: 0.500 0.500 0.000

=====

6.
This record from the Alexandria database describes a geometry-optimized SbTe2PbN structure. The functional is PBE-GGA.

## Properties
space-group type: P4/mmm, No. 123
DFT total energy: -3.966 eV per atom

Cell lengths 4.944, 4.944, 4.917 Å; angles 90.00, 90.00, 90.00 degrees
Fractional positions:
Sb: 0.000 0.000 0.000
Te: 0.000 0.500 0.500
Te: 0.500 0.000 0.500
Pb: 0.500 0.500 0.000
N: 0.000 0.000 0.500

=====

7.
This record from the Alexandria database describes a geometry-optimized Sb2TePbN structure. The functional is PBE-GGA.

## Properties
space-group type: P4/mmm, No. 123
DFT total energy: -2.557 eV per atom

Cell lengths 5.872, 5.872, 5.799 Å; angles 90.00, 90.00, 90.00 degrees
Fractional positions:
Sb: 0.000 0.500 0.000
Sb: 0.500 0.000 0.000
Te: 0.000 0.000 0.500
Pb: 0.000 0.000 0.000
N: 0.500 0.500 0.500

=====

8.
This record from the Alexandria database describes a geometry-optimized SbTePbN2 structure. The functional is PBE-GGA.

## Properties
space-group type: P4/mmm, No. 123
DFT total energy: -4.403 eV per atom

Cell lengths 4.264, 4.264, 5.855 Å; angles 90.00, 90.00, 90.00 degrees
Fractional positions:
Sb: 0.000 0.000 0.000
Te: 0.000 0.000 0.500
Pb: 0.500 0.500 0.500
N: 0.000 0.500 0.000
N: 0.500 0.000 0.000

=====

9.
This record from the Alexandria database describes a geometry-optimized SbTePbN2 structure. The functional is PBE-GGA.

## Properties
space-group type: P4/mmm, No. 123
DFT total energy: -3.915 eV per atom

Cell lengths 4.541, 4.541, 6.359 Å; angles 90.00, 90.00, 90.00 degrees
Fractional positions:
Sb: 0.000 0.000 0.000
Te: 0.500 0.500 0.000
Pb: 0.500 0.500 0.500
N: 0.000 0.500 0.500
N: 0.500 0.000 0.500

=====

10.
This record from the Alexandria database describes a geometry-optimized SbTe2PbN structure. The functional is PBE-GGA.

## Properties
space-group type: P4/mmm, No. 123
DFT total energy: -3.929 eV per atom

Cell lengths 5.960, 5.960, 4.000 Å; angles 90.00, 90.00, 90.00 degrees
Fractional positions:
Sb: 0.000 0.000 0.000
Te: 0.000 0.500 0.000
Te: 0.500 0.000 0.000
Pb: 0.500 0.500 0.500
N: 0.000 0.000 0.500

=====

11.
This record from the Alexandria database describes a geometry-optimized Sb2TePbN structure. The functional is PBE-GGA.

## Properties
space-group type: P4/mmm, No. 123
DFT total energy: -4.162 eV per atom

Cell lengths 4.852, 4.852, 5.079 Å; angles 90.00, 90.00, 90.00 degrees
Fractional positions:
Sb: 0.000 0.500 0.000
Sb: 0.500 0.000 0.000
Te: 0.000 0.000 0.500
Pb: 0.500 0.500 0.500
N: 0.000 0.000 0.000

=====

12.
This record from the Alexandria database describes a geometry-optimized SbTe2PbN structure. The functional is PBE-GGA.

## Properties
space-group type: P4/mmm, No. 123
DFT total energy: -3.453 eV per atom

Cell lengths 5.928, 5.928, 4.262 Å; angles 90.00, 90.00, 90.00 degrees
Fractional positions:
Sb: 0.000 0.000 0.000
Te: 0.000 0.500 0.500
Te: 0.500 0.000 0.500
Pb: 0.500 0.500 0.500
N: 0.500 0.500 0.000

=====

13.
This record from the Alexandria database describes a geometry-optimized USbPbN structure. The functional is PBE-GGA.

## Properties
space-group type: P4/nmm, No. 129
DFT total energy: -7.360 eV per atom

Cell lengths 4.134, 4.134, 10.980 Å; angles 90.00, 90.00, 90.00 degrees
Fractional positions:
U: 0.250 0.250 0.093
U: 0.750 0.750 0.907
Sb: 0.250 0.250 0.755
Sb: 0.750 0.750 0.245
Pb: 0.250 0.750 0.500
Pb: 0.750 0.250 0.500
N: 0.250 0.750 0.000
N: 0.750 0.250 0.000

=====

14.
This record from the Alexandria database describes a geometry-optimized Y4SbPbN structure. The functional is PBE-GGA.

## Properties
space-group type: Cmcm, No. 63
DFT total energy: -6.988 eV per atom

Cell lengths 8.717, 8.717, 6.641 Å; angles 90.00, 90.00, 135.17 degrees
Fractional positions:
Y: 0.000 0.500 0.000
Y: 0.000 0.500 0.500
Y: 0.089 0.911 0.750
Y: 0.409 0.591 0.750
Y: 0.500 0.000 0.000
Y: 0.500 0.000 0.500
Y: 0.591 0.409 0.250
Y: 0.911 0.089 0.250
Sb: 0.108 0.892 0.250
Sb: 0.892 0.108 0.750
Pb: 0.395 0.605 0.250
Pb: 0.605 0.395 0.750
N: 0.251 0.749 0.750
N: 0.749 0.251 0.250

=====

15.
This record from the Alexandria database describes a geometry-optimized Sc3PbN structure. The functional is PBE-GGA.

## Properties
space-group type: Pmma, No. 51
DFT total energy: -7.128 eV per atom

Cell lengths 5.622, 6.290, 5.556 Å; angles 90.00, 90.00, 90.00 degrees
Fractional positions:
Sc: 0.250 0.000 0.205
Sc: 0.250 0.234 0.674
Sc: 0.250 0.766 0.674
Sc: 0.750 0.000 0.795
Sc: 0.750 0.234 0.326
Sc: 0.750 0.766 0.326
Pb: 0.250 0.500 0.190
Pb: 0.750 0.500 0.810
N: 0.000 0.000 0.500
N: 0.500 0.000 0.500

=====

16.
This record from the Alexandria database describes a geometry-optimized Sc3PbN structure. The functional is PBE-GGA.

## Properties
space-group type: P2_1/c, No. 14
DFT total energy: -7.078 eV per atom

Cell lengths 8.074, 5.854, 8.271 Å; angles 90.00, 101.26, 90.00 degrees
Fractional positions:
Sc: 0.052 0.078 0.180
Sc: 0.052 0.422 0.680
Sc: 0.181 0.583 0.054
Sc: 0.181 0.917 0.554
Sc: 0.315 0.125 0.938
Sc: 0.315 0.375 0.438
Sc: 0.685 0.625 0.562
Sc: 0.685 0.875 0.062
Sc: 0.819 0.083 0.446
Sc: 0.819 0.417 0.946
Sc: 0.948 0.578 0.320
Sc: 0.948 0.922 0.820
Pb: 0.413 0.608 0.796
Pb: 0.413 0.892 0.296
Pb: 0.587 0.108 0.704
Pb: 0.587 0.392 0.204
N: 0.065 0.244 0.440
N: 0.065 0.256 0.940
N: 0.935 0.744 0.060
N: 0.935 0.756 0.560

=====

17.
This record from the Alexandria database describes a geometry-optimized Sc3PbN structure. The functional is PBE-GGA.

## Properties
space-group type: Pmmn, No. 59
DFT total energy: -6.886 eV per atom

Cell lengths 4.245, 6.490, 7.730 Å; angles 90.00, 90.00, 90.00 degrees
Fractional positions:
Sc: 0.250 0.018 0.149
Sc: 0.250 0.482 0.149
Sc: 0.250 0.750 0.592
Sc: 0.750 0.250 0.408
Sc: 0.750 0.518 0.851
Sc: 0.750 0.982 0.851
Pb: 0.250 0.250 0.728
Pb: 0.750 0.750 0.272
N: 0.250 0.250 0.324
N: 0.750 0.750 0.676

=====

18.
This record from the Alexandria database describes a geometry-optimized Sc3PbN structure. The functional is PBE-GGA.

## Properties
space-group type: P2_1/c, No. 14
DFT total energy: -6.948 eV per atom

Cell lengths 9.070, 6.111, 8.534 Å; angles 90.00, 118.03, 90.00 degrees
Fractional positions:
Sc: 0.065 0.059 0.283
Sc: 0.065 0.441 0.783
Sc: 0.313 0.250 0.157
Sc: 0.313 0.250 0.657
Sc: 0.401 0.706 0.950
Sc: 0.401 0.794 0.450
Sc: 0.599 0.206 0.550
Sc: 0.599 0.294 0.050
Sc: 0.687 0.750 0.343
Sc: 0.687 0.750 0.843
Sc: 0.935 0.559 0.217
Sc: 0.935 0.941 0.717
Pb: 0.148 0.749 0.574
Pb: 0.148 0.751 0.074
Pb: 0.852 0.249 0.926
Pb: 0.852 0.251 0.426
N: 0.331 0.150 0.416
N: 0.331 0.350 0.916
N: 0.669 0.650 0.084
N: 0.669 0.850 0.584

=====

19.
This record from the Alexandria database describes a geometry-optimized Sc3PbN structure. The functional is PBE-GGA.

## Properties
space-group type: C2/m, No. 12
DFT total energy: -6.928 eV per atom

Cell lengths 8.910, 8.910, 7.895 Å; angles 95.53, 95.53, 20.90 degrees
Fractional positions:
Sc: 0.047 0.047 0.206
Sc: 0.160 0.160 0.504
Sc: 0.295 0.295 0.810
Sc: 0.705 0.705 0.190
Sc: 0.840 0.840 0.496
Sc: 0.953 0.953 0.794
Pb: 0.124 0.124 0.877
Pb: 0.876 0.876 0.123
N: 0.394 0.394 0.658
N: 0.606 0.606 0.342

=====

20.
This record from the Alexandria database describes a geometry-optimized Sc3PbN structure. The functional is PBE-GGA.

## Properties
space-group type: R-3c, No. 167
DFT total energy: -6.629 eV per atom

Cell lengths 7.415, 7.415, 7.415 Å; angles 55.60, 55.60, 55.60 degrees
Fractional positions:
Sc: 0.034 0.750 0.466
Sc: 0.250 0.534 0.966
Sc: 0.466 0.034 0.750
Sc: 0.534 0.966 0.250
Sc: 0.750 0.466 0.034
Sc: 0.966 0.250 0.534
Pb: 0.000 0.000 0.000
Pb: 0.500 0.500 0.500
N: 0.250 0.250 0.250
N: 0.750 0.750 0.750

=====

Magnetic moment across the listed records, respectively: 0.0; 2.7; 0.0; 0.0; 3.8; 0.0; 0.0; 1.2; 1.8; 0.0; 0.0; 1.3; 2.2; 0.0; 0.0; 0.0; 0.0; 0.0; 0.0; 3.1 μB/cell.